Entry from the Alexandria database: crystalline CsZnGa2Br8 at its relaxed geometry (GGA-PBE).

Lattice parameters (Å, degrees): 7.0031 7.0031 30.7566 90.00 90.00 120.00
Space group R-3 (No. 148, hexagonal axes)
Inequivalent atoms, fractional coordinates:
Cs (0.0000, 0.0000, 0.0000)
Zn (0.0000, 0.0000, 0.5000)
Ga (0.0000, 0.0000, 0.2477)
Br (0.0000, 0.0000, 0.3248)
Br (0.0024, 0.6778, 0.2233)

Properties
* formation energy from raw total energies: -10.78 eV/f.u.

***

Entry from the Alexandria database: crystalline KY3Mg at its relaxed geometry (GGA-PBE).

Lattice parameters (Å, degrees): 5.847 5.847 5.847 90.00 90.00 90.00
Space group Pm-3m (No. 221)
Inequivalent atoms, fractional coordinates:
K (0.000, 0.000, 0.000)
Y (0.000, 0.500, 0.500)
Mg (0.500, 0.500, 0.500)

Properties
* calculated formation energy: 61 kJ per mole of atoms
* ΔE to the lowest computed polymorph: 0.00 eV/f.u.

***

Entry from the Alexandria database: crystalline TaCo2RuSe at its relaxed geometry (GGA-PBE).

Lattice parameters (Å, degrees): 4.427 4.427 4.582 90.00 90.00 90.00
Space group P4/mmm (No. 123)
Inequivalent atoms, fractional coordinates:
Ta (0.000, 0.000, 0.000)
Co (0.000, 0.500, 0.500)
Ru (0.500, 0.500, 0.500)
Se (0.500, 0.500, 0.000)

Properties
* formation energy from raw total energies: 6.65 eV/f.u.

***

Number 1: V 36.29 A^3/atom. Number 2: V 39.97 A^3/atom. Number 3: V 17.96 A^3/atom.